NiI2O2: relaxed, GGA+U.

**Total DFT energy (no corrections)**: -2.4149 eV per atom
**DOS at the Fermi energy**: 6.45 states/eV/f.u.
**Distance to the lowest polymorph of the same formula**: 540 meV per atom

Lattice parameters (Å, degrees): 5.3808 5.3808 3.4630 90.00 90.00 90.00
With the nearest neighbours (Å) after each atom.
Space group P4/mmm (No. 123)
Symmetry-distinct sites (fractional):
Ni1 0.0000 0.0000 0.0000 (multiplicity 1)  2 O 1.73
I1 0.0000 0.5000 0.0000 (multiplicity 2)  2 Ni 2.69
O1 0.0000 0.0000 0.5000 (multiplicity 1)  2 Ni 1.73
O2 0.5000 0.5000 0.5000 (multiplicity 1)  8 I 3.20, 2 O 3.46